1 | Material: NaTa3N
Method: DFT, PBE
State: relaxed

Output
spin magnetization	0.0	μB/f.u.
crystal system	cubic

a b c (Å): 4.3214 4.3214 4.3214
angles (deg): 90.00 90.00 90.00
Closest atoms and distances in Å follow each position.
Fractional positions:
Na: 0.0000 0.0000 0.0000  12 Ta 3.06
Ta: 0.0000 0.5000 0.5000  2 N 2.16
Ta: 0.5000 0.0000 0.5000  2 N 2.16
Ta: 0.5000 0.5000 0.0000  2 N 2.16
N: 0.5000 0.5000 0.5000  6 Ta 2.16

***

2 | Material: NaTa3N
Method: DFT, PBE
State: relaxed

Output
spin magnetization	0.0	μB/f.u.
crystal system	cubic

a b c (Å): 4.6127 4.6127 4.6127
angles (deg): 90.00 90.00 90.00
Closest atoms and distances in Å follow each position.
Fractional positions:
Na: 0.0000 0.0000 0.0000  6 Ta 2.31
Ta: 0.0000 0.0000 0.5000  2 Na 2.31
Ta: 0.0000 0.5000 0.0000  2 Na 2.31
Ta: 0.5000 0.0000 0.0000  2 Na 2.31
N: 0.5000 0.5000 0.5000  12 Ta 3.26

***

Bottom line: 1, by a margin of 3.226 eV/atom.

***

1 | Material: Na3TaN
Method: DFT, PBE
State: relaxed

Output
spin magnetization	0.6	μB/f.u.
crystal system	cubic

a b c (Å): 4.7132 4.7132 4.7132
angles (deg): 90.00 90.00 90.00
Closest atoms and distances in Å follow each position.
Fractional positions:
Na: 0.0000 0.0000 0.5000  2 N 2.36
Na: 0.0000 0.5000 0.0000  2 N 2.36
Na: 0.5000 0.0000 0.0000  2 N 2.36
Ta: 0.5000 0.5000 0.5000  12 Na 3.33
N: 0.0000 0.0000 0.0000  6 Na 2.36

***

2 | Material: Na3TaN
Method: DFT, PBE
State: relaxed

Output
spin magnetization	3.0	μB/f.u.
crystal system	cubic

a b c (Å): 6.0816 6.0816 6.0816
angles (deg): 90.00 90.00 90.00
Closest atoms and distances in Å follow each position.
Fractional positions:
Na: 0.0000 0.0000 0.5000  2 Ta 3.04
Na: 0.0000 0.5000 0.0000  2 Ta 3.04
Na: 0.5000 0.0000 0.0000  2 Ta 3.04
Ta: 0.0000 0.0000 0.0000  6 Na 3.04
N: 0.5000 0.5000 0.5000  12 Na 4.30

***

Bottom line: 1, by a margin of 0.761 eV/atom.

***

1 | Material: NaTaTe2N
Method: DFT, PBE
State: relaxed

Output
spin magnetization	0.8	μB/f.u.
crystal system	tetragonal

a b c (Å): 5.4059 5.4059 4.0372
angles (deg): 90.00 90.00 90.00
Closest atoms and distances in Å follow each position.
Fractional positions:
Na: 0.0000 0.0000 0.0000  2 N 2.02
Ta: 0.5000 0.5000 0.5000  8 Te 3.37
Te: 0.0000 0.5000 0.0000  2 Na 2.70
Te: 0.5000 0.0000 0.0000  2 Na 2.70
N: 0.0000 0.0000 0.5000  2 Na 2.02

***

2 | Material: NaTaTe2N
Method: DFT, PBE
State: relaxed

Output
spin magnetization	0.0	μB/f.u.
crystal system	tetragonal

a b c (Å): 5.6794 5.6794 3.9220
angles (deg): 90.00 90.00 90.00
Closest atoms and distances in Å follow each position.
Fractional positions:
Na: 0.0000 0.0000 0.0000  8 Te 3.45
Ta: 0.5000 0.5000 0.5000  2 N 1.96
Te: 0.0000 0.5000 0.5000  2 Ta 2.84
Te: 0.5000 0.0000 0.5000  2 Ta 2.84
N: 0.5000 0.5000 0.0000  2 Ta 1.96

***

Bottom line: 2, by a margin of 1.823 eV/atom.

***

1 | Material: Na3TcN
Method: DFT, PBE
State: relaxed

Output
spin magnetization	5.0	μB/f.u.
crystal system	cubic

a b c (Å): 4.7755 4.7755 4.7755
angles (deg): 90.00 90.00 90.00
Closest atoms and distances in Å follow each position.
Fractional positions:
Na: 0.0000 0.0000 0.5000  2 N 2.39
Na: 0.0000 0.5000 0.0000  2 N 2.39
Na: 0.5000 0.0000 0.0000  2 N 2.39
Tc: 0.5000 0.5000 0.5000  12 Na 3.38
N: 0.0000 0.0000 0.0000  6 Na 2.39

***

2 | Material: Na3TcN
Method: DFT, PBE
State: relaxed

Output
spin magnetization	5.1	μB/f.u.
crystal system	cubic

a b c (Å): 5.8349 5.8349 5.8349
angles (deg): 90.00 90.00 90.00
Closest atoms and distances in Å follow each position.
Fractional positions:
Na: 0.0000 0.0000 0.5000  2 Tc 2.92
Na: 0.0000 0.5000 0.0000  2 Tc 2.92
Na: 0.5000 0.0000 0.0000  2 Tc 2.92
Tc: 0.0000 0.0000 0.0000  6 Na 2.92
N: 0.5000 0.5000 0.5000  12 Na 4.13

***

Bottom line: 1, by a margin of 0.836 eV/atom.

***

1 | Material: NaTcTeN2
Method: DFT, PBE
State: relaxed

Output
spin magnetization	0.0	μB/f.u.
crystal system	tetragonal

a b c (Å): 4.0511 4.0511 5.2049
angles (deg): 90.00 90.00 90.00
Closest atoms and distances in Å follow each position.
Fractional positions:
Na: 0.0000 0.0000 0.0000  4 N 2.03
Tc: 0.5000 0.5000 0.5000  4 Te 2.86
Te: 0.0000 0.0000 0.5000  2 Na 2.60, 4 Tc 2.86
N: 0.0000 0.5000 0.0000  2 Na 2.03
N: 0.5000 0.0000 0.0000  2 Na 2.03

***

2 | Material: NaTcTeN2
Method: DFT, PBE
State: relaxed

Output
spin magnetization	0.1	μB/f.u.
crystal system	tetragonal

a b c (Å): 3.9325 3.9325 5.6659
angles (deg): 90.00 90.00 90.00
Closest atoms and distances in Å follow each position.
Fractional positions:
Na: 0.0000 0.0000 0.0000  4 Te 2.78
Tc: 0.5000 0.5000 0.5000  4 N 1.97
Te: 0.5000 0.5000 0.0000  4 Na 2.78, 2 Tc 2.83
N: 0.0000 0.5000 0.5000  2 Tc 1.97
N: 0.5000 0.0000 0.5000  2 Tc 1.97

***

Bottom line: 2, by a margin of 2.214 eV/atom.

***

1 | Material: NaTe2N
Method: DFT, PBE
State: relaxed

Output
spin magnetization	0.0	μB/f.u.
crystal system	trigonal

a b c (Å): 9.4757 9.4757 9.4757
angles (deg): 21.03 21.03 21.03
Closest atoms and distances in Å follow each position.
Fractional positions:
Na: 0.0000 0.0000 0.0000  2 Te 3.07
Te: 0.1105 0.1105 0.1105  3 N 2.53
Te: 0.8895 0.8895 0.8895  3 N 2.53
N: 0.5000 0.5000 0.5000  6 Te 2.53

***

2 | Material: NaTe2N
Method: DFT, PBE
State: relaxed

Output
spin magnetization	0.0	μB/f.u.
crystal system	trigonal

a b c (Å): 6.8817 6.8817 6.8817
angles (deg): 45.01 45.01 45.01
Closest atoms and distances in Å follow each position.
Fractional positions:
Na: 0.0000 0.0000 0.0000  6 Te 3.25
Te: 0.3956 0.3956 0.3956  1 N 1.93
Te: 0.6044 0.6044 0.6044  1 N 1.93
N: 0.5000 0.5000 0.5000  2 Te 1.93

***

Bottom line: 2, by a margin of 0.348 eV/atom.

***

1 | Material: NaTe2N
Method: DFT, PBE
State: relaxed

Output
spin magnetization	1.8	μB/f.u.
crystal system	cubic

a b c (Å): 5.0377 5.0377 5.0377
angles (deg): 60.00 60.00 60.00
Closest atoms and distances in Å follow each position.
Fractional positions:
Na: 0.0000 0.0000 0.0000  8 Te 3.08
Te: 0.2500 0.2500 0.2500  4 Na 3.08, 4 N 3.08
Te: 0.7500 0.7500 0.7500  4 N 3.08, 4 Na 3.08
N: 0.5000 0.5000 0.5000  8 Te 3.08

***

2 | Material: NaTe2N
Method: DFT, PBE
State: relaxed

Output
spin magnetization	0.0	μB/f.u.
crystal system	tetragonal

a b c (Å): 6.5137 6.5137 6.5137
angles (deg): 113.68 113.68 101.34
Closest atoms and distances in Å follow each position.
Fractional positions:
Na: 0.0000 0.0000 0.0000  4 Te 3.30
Na: 0.7500 0.2500 0.5000  4 Te 3.30
Te: 0.2377 0.6250 0.1127  2 N 2.28
Te: 0.3750 0.4877 0.6127  2 N 2.28
Te: 0.5123 0.1250 0.8873  2 N 2.28
Te: 0.8750 0.7623 0.3873  2 N 2.28
N: 0.2500 0.7500 0.5000  4 Te 2.28
N: 0.5000 0.5000 0.0000  4 Te 2.28

***

Bottom line: 2, by a margin of 0.678 eV/atom.

***

1 | Material: NaTlTeN2
Method: DFT, PBE
State: relaxed

Output
spin magnetization	5.2	μB/f.u.
crystal system	tetragonal

a b c (Å): 4.6853 4.6853 6.1568
angles (deg): 90.00 90.00 90.00
Closest atoms and distances in Å follow each position.
Fractional positions:
Na: 0.0000 0.0000 0.0000  4 N 2.34
Tl: 0.5000 0.5000 0.5000  4 Te 3.31
Te: 0.0000 0.0000 0.5000  2 Na 3.08, 4 Tl 3.31
N: 0.0000 0.5000 0.0000  2 Na 2.34
N: 0.5000 0.0000 0.0000  2 Na 2.34

***

2 | Material: NaTlTeN2
Method: DFT, PBE
State: relaxed

Output
spin magnetization	4.1	μB/f.u.
crystal system	tetragonal

a b c (Å): 4.5883 4.5883 6.1467
angles (deg): 90.00 90.00 90.00
Closest atoms and distances in Å follow each position.
Fractional positions:
Na: 0.0000 0.0000 0.0000  4 Te 3.24
Tl: 0.5000 0.5000 0.5000  4 N 2.29
Te: 0.5000 0.5000 0.0000  2 Tl 3.07, 4 Na 3.24
N: 0.0000 0.5000 0.5000  2 Tl 2.29
N: 0.5000 0.0000 0.5000  2 Tl 2.29

***

Bottom line: 2, by a margin of 0.222 eV/atom.

***

1 | Material: NaTlTe2N
Method: DFT, PBE
State: relaxed

Output
spin magnetization	3.7	μB/f.u.
crystal system	tetragonal

a b c (Å): 5.7663 5.7663 4.7629
angles (deg): 90.00 90.00 90.00
Closest atoms and distances in Å follow each position.
Fractional positions:
Na: 0.0000 0.0000 0.0000  2 N 2.38
Tl: 0.5000 0.5000 0.5000  8 Te 3.74, 4 N 4.08
Te: 0.0000 0.5000 0.0000  2 Na 2.88
Te: 0.5000 0.0000 0.0000  2 Na 2.88
N: 0.0000 0.0000 0.5000  2 Na 2.38

***

2 | Material: NaTlTe2N
Method: DFT, PBE
State: relaxed

Output
spin magnetization	2.6	μB/f.u.
crystal system	tetragonal

a b c (Å): 6.0895 6.0895 4.3181
angles (deg): 90.00 90.00 90.00
Closest atoms and distances in Å follow each position.
Fractional positions:
Na: 0.0000 0.0000 0.0000  8 Te 3.73
Tl: 0.5000 0.5000 0.5000  2 N 2.16
Te: 0.0000 0.5000 0.5000  2 Tl 3.04
Te: 0.5000 0.0000 0.5000  2 Tl 3.04
N: 0.5000 0.5000 0.0000  2 Tl 2.16

***

Bottom line: 2, by a margin of 0.183 eV/atom.

***

1 | Material: NaVTeN2
Method: DFT, PBE
State: relaxed

Output
spin magnetization	0.8	μB/f.u.
crystal system	tetragonal

a b c (Å): 3.8947 3.8947 5.5517
angles (deg): 90.00 90.00 90.00
Closest atoms and distances in Å follow each position.
Fractional positions:
Na: 0.0000 0.0000 0.0000  4 Te 2.75
V: 0.5000 0.5000 0.5000  4 N 1.95
Te: 0.5000 0.5000 0.0000  4 Na 2.75, 2 V 2.78
N: 0.0000 0.5000 0.5000  2 V 1.95
N: 0.5000 0.0000 0.5000  2 V 1.95

***

2 | Material: NaVTeN2
Method: DFT, PBE
State: relaxed

Output
spin magnetization	5.1	μB/f.u.
crystal system	tetragonal

a b c (Å): 4.2003 4.2003 5.6058
angles (deg): 90.00 90.00 90.00
Closest atoms and distances in Å follow each position.
Fractional positions:
Na: 0.0000 0.0000 0.0000  4 N 2.10
V: 0.5000 0.5000 0.5000  4 Te 2.97
Te: 0.0000 0.0000 0.5000  2 Na 2.80, 4 V 2.97
N: 0.0000 0.5000 0.0000  2 Na 2.10
N: 0.5000 0.0000 0.0000  2 Na 2.10

***

Bottom line: 1, by a margin of 1.947 eV/atom.

***

1 | Material: NaVTe2N
Method: DFT, PBE
State: relaxed

Output
spin magnetization	0.5	μB/f.u.
crystal system	tetragonal

a b c (Å): 5.6270 5.6270 3.6123
angles (deg): 90.00 90.00 90.00
Closest atoms and distances in Å follow each position.
Fractional positions:
Na: 0.0000 0.0000 0.0000  8 Te 3.34, 2 Na 3.61
V: 0.5000 0.5000 0.5000  2 N 1.81
Te: 0.0000 0.5000 0.5000  2 V 2.81
Te: 0.5000 0.0000 0.5000  2 V 2.81
N: 0.5000 0.5000 0.0000  2 V 1.81

***

2 | Material: NaVTe2N
Method: DFT, PBE
State: relaxed

Output
spin magnetization	5.5	μB/f.u.
crystal system	tetragonal

a b c (Å): 5.5502 5.5502 4.1846
angles (deg): 90.00 90.00 90.00
Closest atoms and distances in Å follow each position.
Fractional positions:
Na: 0.0000 0.0000 0.0000  2 N 2.09
V: 0.5000 0.5000 0.5000  8 Te 3.48
Te: 0.0000 0.5000 0.0000  2 Na 2.78
Te: 0.5000 0.0000 0.0000  2 Na 2.78
N: 0.0000 0.0000 0.5000  2 Na 2.09

***

Bottom line: 1, by a margin of 1.562 eV/atom.

***

1 | Material: NaTe2WN
Method: DFT, PBE
State: relaxed

Output
spin magnetization	0.0	μB/f.u.
crystal system	tetragonal

a b c (Å): 5.5519 5.5519 3.8482
angles (deg): 90.00 90.00 90.00
Closest atoms and distances in Å follow each position.
Fractional positions:
Na: 0.0000 0.0000 0.0000  8 Te 3.38
Te: 0.0000 0.5000 0.5000  2 W 2.78
Te: 0.5000 0.0000 0.5000  2 W 2.78
W: 0.5000 0.5000 0.5000  2 N 1.92
N: 0.5000 0.5000 0.0000  2 W 1.92

***

2 | Material: NaTe2WN
Method: DFT, PBE
State: relaxed

Output
spin magnetization	5.9	μB/f.u.
crystal system	tetragonal

a b c (Å): 5.4746 5.4746 4.0639
angles (deg): 90.00 90.00 90.00
Closest atoms and distances in Å follow each position.
Fractional positions:
Na: 0.0000 0.0000 0.0000  2 N 2.03
Te: 0.0000 0.5000 0.0000  2 Na 2.74
Te: 0.5000 0.0000 0.0000  2 Na 2.74
W: 0.5000 0.5000 0.5000  8 Te 3.41
N: 0.0000 0.0000 0.5000  2 Na 2.03

***

Bottom line: 1, by a margin of 1.946 eV/atom.